CaErAl after structural relaxation, computed with PBE.

## Properties
Mass density   4.606 g/cm3
V   84.5 Å³ per cell
M_tot   0.000 Bohr magnetons per cell
Formation energy   -164 meV/atom
Offset from the most stable computed form   0 meV per atom

a = 3.5646 Å, b = 3.5646 Å, c = 7.1100 Å
α = 104.52°, β = 104.52°, γ = 90.00°
Fractional positions:
Ca (0.0218, 0.0218, 0.0435)
Al (0.6744, 0.6744, 0.3488)
Er (0.3038, 0.3038, 0.6077)

=====

Tm5In4Au after structural relaxation, computed with PBE.

## Properties
Mass density   9.922 g/cm3
V   251.2 Å³ per cell
M_tot   0.002 Bohr magnetons per cell
Formation energy   -530 meV/atom

a = 3.5423 Å, b = 3.5423 Å, c = 20.0192 Å
α = 90.00°, β = 90.00°, γ = 90.00°
Fractional positions:
Tm (0.5000, 0.5000, 0.0876)
Tm (0.5000, 0.5000, 0.2935)
Tm (0.5000, 0.5000, 0.5000)
Tm (0.5000, 0.5000, 0.7065)
Tm (0.5000, 0.5000, 0.9124)
In (0.0000, 0.0000, 0.1913)
In (0.0000, 0.0000, 0.3968)
In (0.0000, 0.0000, 0.6032)
In (0.0000, 0.0000, 0.8087)
Au (0.0000, 0.0000, 0.0000)

=====

Li4Tb3ErSe8 after structural relaxation, computed with PBE.

## Properties
Mass density   5.786 g/cm3
V   374.1 Å³ per cell
M_tot   0.000 Bohr magnetons per cell
Energy   -5.070 eV per atom

a = 8.1521 Å, b = 8.0278 Å, c = 8.1507 Å
α = 120.53°, β = 120.01°, γ = 90.00°
Fractional positions:
Li (0.5000, 0.0000, 0.0000)
Li (0.5000, 0.0000, 0.5000)
Li (0.0000, 0.0000, 0.0000)
Li (0.0000, 0.0000, 0.5000)
Tb (0.5000, 0.5000, 0.0000)
Tb (0.5000, 0.5000, 0.5000)
Tb (0.0000, 0.5000, 0.5000)
Er (0.0000, 0.5000, 0.0000)
Se (0.2496, 0.7529, 0.0035)
Se (0.2497, 0.7529, 0.4993)
Se (0.2485, 0.2457, 0.4970)
Se (0.7538, 0.7529, 0.0035)
Se (0.2462, 0.2471, 0.9965)
Se (0.7515, 0.7543, 0.5030)
Se (0.7503, 0.2471, 0.5007)
Se (0.7504, 0.2471, 0.9965)

=====

IrOs2Pt after structural relaxation, computed with PBE.

## Properties
Mass density   21.764 g/cm3
V   58.6 Å³ per cell
M_tot   0.000 Bohr magnetons per cell
Formation energy   174 meV/atom
Offset from the most stable computed form   110 meV per atom

a = 4.7790 Å, b = 4.7790 Å, c = 2.7362 Å
α = 90.00°, β = 90.00°, γ = 110.38°
Fractional positions:
Ir (0.0000, 0.5000, 0.5000)
Os (0.0000, 0.0000, 0.0000)
Os (0.5000, 0.5000, 0.0000)
Pt (0.5000, 0.0000, 0.5000)

=====

In2Sb2O7 after structural relaxation, computed with PBE.

## Properties
Mass density   5.539 g/cm3
V   175.4 Å³ per cell
M_tot   0.000 Bohr magnetons per cell
Energy   -5.607 eV per atom

a = 5.6044 Å, b = 5.7492 Å, c = 5.7492 Å
α = 106.58°, β = 95.30°, γ = 95.30°
Fractional positions:
In (0.4082, 0.2604, 0.2604)
In (0.5918, 0.7396, 0.7396)
Sb (0.0000, 0.3071, 0.6929)
Sb (0.0000, 0.6929, 0.3071)
O (0.8045, 0.9407, 0.5572)
O (0.1955, 0.4428, 0.0593)
O (0.1955, 0.0593, 0.4428)
O (0.8045, 0.5572, 0.9407)
O (0.5000, 0.0000, 0.0000)
O (0.2344, 0.5572, 0.5572)
O (0.7656, 0.4428, 0.4428)